Entry 1:
Compound: MnAg2Ru
Source: the Alexandria database
Functional: PBE-GGA
Structure: optimized geometry

The space group is P2/m (No. 10) and the conventional cell measures 4.763, 2.801 and 4.986 Å, with angles of 90.00, 107.17 and 90.00 degrees. The inequivalent atoms are Mn at (0.000, 0.000, 0.000), Ag at (0.000, 0.500, 0.500), Ag at (0.500, 0.000, 0.500) and Ru at (0.500, 0.500, 0.000).

The calculation puts the volume at 63.6 Å³/f.u. The value obtained for the formation energy is 386 meV per atom. The spin magnetization is 3.8 μB per cell.



Entry 2:
Compound: MnAg2Ru
Source: the Alexandria database
Functional: PBE-GGA
Structure: optimized geometry

The space group is Cm (No. 8) and the conventional cell measures 9.274, 2.809 and 5.018 Å, with angles of 90.00, 101.90 and 90.00 degrees. The inequivalent atoms are Mn at (0.000, 0.000, 0.000), Ag at (0.014, 0.500, 0.522), Ag at (0.255, 0.500, 0.284) and Ru at (0.273, 0.000, 0.804).

The calculation puts the volume at 64.0 Å³/f.u. The value obtained for the formation energy is 399 meV per atom. The spin magnetization is 7.5 μB per cell.



Entry 3:
Compound: MnAgRu2
Source: the Alexandria database
Functional: PBE-GGA
Structure: optimized geometry

The space group is Pmmm (No. 47) and the conventional cell measures 2.871, 4.556 and 4.613 Å, with angles of 90.00, 90.00 and 90.00 degrees. The inequivalent atoms are Mn at (0.000, 0.000, 0.000), Ag at (0.500, 0.500, 0.000), Ru at (0.000, 0.500, 0.500) and Ru at (0.500, 0.000, 0.500).

The calculation puts the volume at 60.3 Å³/f.u. The value obtained for the formation energy is 501 meV per atom. The spin magnetization is 4.4 μB per cell.



Number 1: final energy -5.651 eV per atom, relative energy among the computed polymorphs 148.2 meV/atom. Number 2: final energy -5.637 eV per atom, relative energy among the computed polymorphs 162.1 meV/atom. Number 3: final energy -7.142 eV per atom, relative energy among the computed polymorphs 251.1 meV/atom.